1.
A relaxed structure of Tb2HgSb, computed with PBE.

a = 3.9266 Å, b = 3.9266 Å, c = 6.9057 Å
α = 90.00°, β = 90.00°, γ = 90.00°
Last column: magnetic moment on the atom in μB.
Atoms (fractional coordinates):
Sb: 0.5000 0.5000 0.0000  -0.01
Tb: 0.0000 0.0000 0.7548  0.23
Tb: 0.0000 0.0000 0.2452  0.23
Hg: 0.5000 0.5000 0.5000  0.01

Computed properties:
energy	-16.45	eV per cell
ΔE_f (raw)	-0.6902	eV/atom
distance to the lowest polymorph of the same formula	0.071	eV/atom
space-group type	No. 123
ρ	9.984	Mg/m³

***

2.
A relaxed structure of Tb2HgSb, computed with PBE.

a = 4.2094 Å, b = 4.2094 Å, c = 8.1931 Å
α = 75.11°, β = 75.11°, γ = 60.00°
Atoms (fractional coordinates):
Tb: 0.0788 0.0788 0.7637
Tb: 0.2548 0.2548 0.2355
Hg: 0.4990 0.4990 0.5029
Sb: 0.6674 0.6674 0.9978

Computed properties:
energy	-16.24	eV per cell
ΔE_f (raw)	-0.6378	eV/atom
distance to the lowest polymorph of the same formula	0.123	eV/atom
space-group type	No. 160
ρ	8.854	Mg/m³

***

3.
A relaxed structure of Tb8HgSb5, computed with PBE.

a = 8.0012 Å, b = 8.0012 Å, c = 8.0012 Å
α = 109.70°, β = 109.02°, γ = 109.70°
Atoms (fractional coordinates):
Tb: 0.1260 0.7499 0.0169
Tb: 0.9831 0.1091 0.7330
Tb: 0.7699 0.2495 0.3745
Tb: 0.6255 0.3954 0.8751
Tb: 0.4796 0.6046 0.2301
Tb: 0.6240 0.8909 0.8740
Tb: 0.2670 0.2501 0.3760
Tb: 0.1249 0.7505 0.5204
Hg: 0.2500 0.5000 0.7500
Sb: 0.9971 0.3738 0.1247
Sb: 0.8753 0.8724 0.2490
Sb: 0.7510 0.6262 0.6234
Sb: 0.5000 0.0000 0.5000
Sb: 0.3766 0.1276 0.0029

Computed properties:
energy	-70.60	eV per cell
ΔE_f (raw)	-0.9035	eV/atom
space-group type	No. 82
ρ	8.763	Mg/m³

***

Question: Among the records above, which one has the highest energy?
Answer: number 2